## i
An optimized crystal structure of TlVSi2. Source: Alexandria, functional PBE-GGA.

a b c (Å): 4.7219 4.7219 4.7219
angles (deg): 60.00 60.00 60.00
Last column: nearest neighbours and their distance in Å.
Sites, in units of the cell vectors:
Si 0.2500 0.2500 0.2500  4 Tl 2.89, 4 V 2.89
Si 0.7500 0.7500 0.7500  4 V 2.89, 4 Tl 2.89
Tl 0.5000 0.5000 0.5000  8 Si 2.89
V 0.0000 0.0000 0.0000  8 Si 2.89

## ii
An optimized crystal structure of TlVSi2. Source: Alexandria, functional PBE-GGA.

a b c (Å): 4.3418 4.3418 9.0063
angles (deg): 76.05 76.05 90.00
Last column: nearest neighbours and their distance in Å.
Sites, in units of the cell vectors:
Si 0.5078 0.1250 0.2500  2 V 2.45, 2 Si 2.46
Si 0.8750 0.7578 0.7500  2 V 2.45, 2 Si 2.46
Si 0.3750 0.4922 0.7500  2 V 2.45, 2 Si 2.46
Si 0.2422 0.6250 0.2500  2 V 2.45, 2 Si 2.46
Tl 0.0000 0.0000 0.0000  4 Si 2.86, 4 V 3.07
Tl 0.7500 0.2500 0.5000  4 Si 2.86, 4 V 3.07
V 0.2500 0.7500 0.5000  4 Si 2.45
V 0.5000 0.5000 0.0000  4 Si 2.45

Tell me which of them is the most stable. Sure, it is ii.

## i
An optimized crystal structure of TlSiW3. Source: Alexandria, functional PBE-GGA.

a b c (Å): 4.9487 4.9487 4.9487
angles (deg): 90.00 90.00 90.00
Last column: nearest neighbours and their distance in Å.
Sites, in units of the cell vectors:
W 0.0000 0.0000 0.5000  2 Tl 2.47
W 0.5000 0.0000 0.0000  2 Tl 2.47
W 0.0000 0.5000 0.0000  2 Tl 2.47
Tl 0.0000 0.0000 0.0000  6 W 2.47
Si 0.5000 0.5000 0.5000  12 W 3.50

## ii
An optimized crystal structure of TlSiW3. Source: Alexandria, functional PBE-GGA.

a b c (Å): 4.5629 4.5629 4.5629
angles (deg): 90.00 90.00 90.00
Last column: nearest neighbours and their distance in Å.
Sites, in units of the cell vectors:
W 0.0000 0.5000 0.0000  2 Si 2.28
W 0.0000 0.0000 0.5000  2 Si 2.28
W 0.5000 0.0000 0.0000  2 Si 2.28
Tl 0.5000 0.5000 0.5000  12 W 3.23
Si 0.0000 0.0000 0.0000  6 W 2.28

Tell me which of them is the most stable. Sure, it is ii.

## i
An optimized crystal structure of Tl3SiW. Source: Alexandria, functional PBE-GGA.

a b c (Å): 5.3863 5.3863 5.3863
angles (deg): 90.00 90.00 90.00
Last column: nearest neighbours and their distance in Å.
Sites, in units of the cell vectors:
Tl 0.0000 0.0000 0.5000  2 W 2.69
Tl 0.5000 0.0000 0.0000  2 W 2.69
Tl 0.0000 0.5000 0.0000  2 W 2.69
W 0.0000 0.0000 0.0000  6 Tl 2.69
Si 0.5000 0.5000 0.5000  12 Tl 3.81

## ii
An optimized crystal structure of Tl3SiW. Source: Alexandria, functional PBE-GGA.

a b c (Å): 5.2761 5.2761 5.2761
angles (deg): 90.00 90.00 90.00
Last column: nearest neighbours and their distance in Å.
Sites, in units of the cell vectors:
Tl 0.0000 0.0000 0.5000  2 Si 2.64
Tl 0.0000 0.5000 0.0000  2 Si 2.64
Tl 0.5000 0.0000 0.0000  2 Si 2.64
Si 0.0000 0.0000 0.0000  6 Tl 2.64
W 0.5000 0.5000 0.5000  12 Tl 3.73

Tell me which of them is the most stable. Sure, it is i.